No. 1
# CePuGa2 PBE-GGA optimized geometry
data_CePuGa2
_space_group_name_H-M_alt 'I m m a'
_space_group_IT_number 74
_space_group_name_Hall '-I 2b 2'
_cell_length_a 6.798
_cell_length_b 8.693
_cell_length_c 6.058
_cell_angle_alpha 90.00
_cell_angle_beta 90.00
_cell_angle_gamma 90.00
loop_
_atom_site_label
_atom_site_type_symbol
_atom_site_fract_x
_atom_site_fract_y
_atom_site_fract_z
_atom_site_occupancy
Ce1 Ce 0.000 0.250 0.007 1
Pu1 Pu 0.000 0.250 0.485 1
Ga1 Ga 0.250 0.005 0.750 1
# Raw total energy, eV/atom: -6.9866
# DOS(E_F), states/eV per atom: 2.163
# M_tot, μB per cell: 25.0



No. 2
# Ce4PuGa3 PBE-GGA optimized geometry
data_Ce4PuGa3
_space_group_name_H-M_alt 'C 1 2/m 1'
_space_group_IT_number 12
_cell_length_a 19.102
_cell_length_b 4.427
_cell_length_c 4.521
_cell_angle_alpha 90.00
_cell_angle_beta 102.76
_cell_angle_gamma 90.00
loop_
_space_group_symop_operation_xyz
'x,y,z'
'-x,-y,-z'
'-x,y,-z'
'x,-y,z'
'x+1/2,y+1/2,z'
'-x+1/2,-y+1/2,-z'
'-x+1/2,y+1/2,-z'
'x+1/2,-y+1/2,z'
loop_
_atom_site_label
_atom_site_type_symbol
_atom_site_fract_x
_atom_site_fract_y
_atom_site_fract_z
_atom_site_occupancy
Ce1 Ce 0.118 0.000 0.206 1
Ce2 Ce 0.233 0.000 0.710 1
Pu1 Pu 0.000 0.000 0.500 1
Ga1 Ga 0.000 0.500 0.000 1
Ga2 Ga 0.122 0.500 0.707 1
# Raw total energy, eV/atom: -6.2220
# DOS(E_F), states/eV per atom: 2.172
# M_tot, μB per cell: 12.0



No. 3
# Ce5PuGa PBE-GGA optimized geometry
data_Ce5PuGa
_space_group_name_H-M_alt 'C 1 2/c 1'
_space_group_IT_number 15
_cell_length_a 11.833
_cell_length_b 8.168
_cell_length_c 9.819
_cell_angle_alpha 90.00
_cell_angle_beta 115.88
_cell_angle_gamma 90.00
loop_
_space_group_symop_operation_xyz
'x,y,z'
'-x,-y,-z'
'-x,y,-z+1/2'
'x,-y,z+1/2'
'x+1/2,y+1/2,z'
'-x+1/2,-y+1/2,-z'
'-x+1/2,y+1/2,-z+1/2'
'x+1/2,-y+1/2,z+1/2'
loop_
_atom_site_label
_atom_site_type_symbol
_atom_site_fract_x
_atom_site_fract_y
_atom_site_fract_z
_atom_site_occupancy
Ce1 Ce 0.000 0.076 0.250 1
Ce2 Ce 0.054 0.285 0.976 1
Ce3 Ce 0.221 0.071 0.631 1
Pu1 Pu 0.000 0.000 0.000 1
Ga1 Ga 0.000 0.439 0.250 1
# Raw total energy, eV/atom: -6.7721
# DOS(E_F), states/eV per atom: 1.668
# M_tot, μB per cell: 0.0



No. 4
# Ce4PuGa5 PBE-GGA optimized geometry
data_Ce4PuGa5
_space_group_name_H-M_alt 'P 4/m m m'
_space_group_IT_number 123
_space_group_name_Hall '-P 4 2'
_cell_length_a 3.631
_cell_length_b 3.631
_cell_length_c 18.089
_cell_angle_alpha 90.00
_cell_angle_beta 90.00
_cell_angle_gamma 90.00
loop_
_atom_site_label
_atom_site_type_symbol
_atom_site_fract_x
_atom_site_fract_y
_atom_site_fract_z
_atom_site_occupancy
Ce1 Ce 0.000 0.000 0.102 1
Ce2 Ce 0.000 0.000 0.304 1
Pu1 Pu 0.000 0.000 0.500 1
Ga1 Ga 0.500 0.500 0.000 1
Ga2 Ga 0.500 0.500 0.203 1
Ga3 Ga 0.500 0.500 0.406 1
# Raw total energy, eV/atom: -5.7283
# DOS(E_F), states/eV per atom: 2.758
# M_tot, μB per cell: 2.6



No. 5
# Ce2Pu4Ga3 PBE-GGA optimized geometry
data_Ce2Pu4Ga3
_space_group_name_H-M_alt 'C 1 2/c 1'
_space_group_IT_number 15
_cell_length_a 8.354
_cell_length_b 10.759
_cell_length_c 9.581
_cell_angle_alpha 90.00
_cell_angle_beta 113.25
_cell_angle_gamma 90.00
loop_
_space_group_symop_operation_xyz
'x,y,z'
'-x,-y,-z'
'-x,y,-z+1/2'
'x,-y,z+1/2'
'x+1/2,y+1/2,z'
'-x+1/2,-y+1/2,-z'
'-x+1/2,y+1/2,-z+1/2'
'x+1/2,-y+1/2,z+1/2'
loop_
_atom_site_label
_atom_site_type_symbol
_atom_site_fract_x
_atom_site_fract_y
_atom_site_fract_z
_atom_site_occupancy
Ce1 Ce 0.088 0.156 0.499 1
Pu1 Pu 0.021 0.378 0.559 1
Pu2 Pu 0.204 0.350 0.833 1
Ga1 Ga 0.000 0.379 0.250 1
Ga2 Ga 0.170 0.062 0.829 1
# Raw total energy, eV/atom: -8.9050
# DOS(E_F), states/eV per atom: 1.844
# M_tot, μB per cell: 2.6



No. 6
# Ce6Pu2Ga3 PBE-GGA optimized geometry
data_Ce6Pu2Ga3
_space_group_name_H-M_alt 'I 4/m m m'
_space_group_IT_number 139
_space_group_name_Hall '-I 4 2'
_cell_length_a 4.951
_cell_length_b 4.951
_cell_length_c 22.663
_cell_angle_alpha 90.00
_cell_angle_beta 90.00
_cell_angle_gamma 90.00
loop_
_atom_site_label
_atom_site_type_symbol
_atom_site_fract_x
_atom_site_fract_y
_atom_site_fract_z
_atom_site_occupancy
Ce1 Ce 0.000 0.000 0.198 1
Ce2 Ce 0.000 0.500 0.088 1
Pu1 Pu 0.000 0.000 0.051 1
Ga1 Ga 0.000 0.000 0.326 1
Ga2 Ga 0.000 0.000 0.500 1
# Raw total energy, eV/atom: -6.7740
# DOS(E_F), states/eV per atom: 2.248
# M_tot, μB per cell: 11.7



No. 7
# Ce6PuGa2 PBE-GGA optimized geometry
data_Ce6PuGa2
_space_group_name_H-M_alt 'C 1 2/m 1'
_space_group_IT_number 12
_cell_length_a 12.140
_cell_length_b 6.905
_cell_length_c 5.322
_cell_angle_alpha 90.00
_cell_angle_beta 91.97
_cell_angle_gamma 90.00
loop_
_space_group_symop_operation_xyz
'x,y,z'
'-x,-y,-z'
'-x,y,-z'
'x,-y,z'
'x+1/2,y+1/2,z'
'-x+1/2,-y+1/2,-z'
'-x+1/2,y+1/2,-z'
'x+1/2,-y+1/2,z'
loop_
_atom_site_label
_atom_site_type_symbol
_atom_site_fract_x
_atom_site_fract_y
_atom_site_fract_z
_atom_site_occupancy
Ce1 Ce 0.080 0.241 0.244 1
Ce2 Ce 0.180 0.500 0.737 1
Pu1 Pu 0.000 0.500 0.500 1
Ga1 Ga 0.166 0.000 0.751 1
# Raw total energy, eV/atom: -6.5081
# DOS(E_F), states/eV per atom: 2.037
# M_tot, μB per cell: 0.0



No. 8
# CePu2Ga3 PBE-GGA optimized geometry
data_CePu2Ga3
_space_group_name_H-M_alt 'P 4/m m m'
_space_group_IT_number 123
_space_group_name_Hall '-P 4 2'
_cell_length_a 3.142
_cell_length_b 3.142
_cell_length_c 13.308
_cell_angle_alpha 90.00
_cell_angle_beta 90.00
_cell_angle_gamma 90.00
loop_
_atom_site_label
_atom_site_type_symbol
_atom_site_fract_x
_atom_site_fract_y
_atom_site_fract_z
_atom_site_occupancy
Ce1 Ce 0.000 0.000 0.000 1
Pu1 Pu 0.000 0.000 0.334 1
Ga1 Ga 0.500 0.500 0.169 1
Ga2 Ga 0.500 0.500 0.500 1
# Raw total energy, eV/atom: -7.6437
# DOS(E_F), states/eV per atom: 2.209
# M_tot, μB per cell: 10.8



M_tot of number 2 (Ce4PuGa3)? 12.0 μB per cell



What did the first record say?
# CePuGa2 PBE-GGA optimized geometry
data_CePuGa2
_space_group_name_H-M_alt 'I m m a'
_space_group_IT_number 74
_space_group_name_Hall '-I 2b 2'
_cell_length_a 6.798
_cell_length_b 8.693
_cell_length_c 6.058
_cell_angle_alpha 90.00
_cell_angle_beta 90.00
_cell_angle_gamma 90.00
loop_
_atom_site_label
_atom_site_type_symbol
_atom_site_fract_x
_atom_site_fract_y
_atom_site_fract_z
_atom_site_occupancy
Ce1 Ce 0.000 0.250 0.007 1
Pu1 Pu 0.000 0.250 0.485 1
Ga1 Ga 0.250 0.005 0.750 1
# Raw total energy, eV/atom: -6.9866
# DOS(E_F), states/eV per atom: 2.163
# M_tot, μB per cell: 25.0



Among the records above, which one has the highest DOS(E_F)? Ce4PuGa5